The following is a PBE calculation of a relaxed Rb3Li2AgF9 crystal, from the Alexandria database.

```
15
Lattice="6.034 0.000 0.000 -3.017 5.225 0.000 0.000 0.000 7.582" Properties=species:S:1:pos:R:3 pbc="T T T"
Rb 3.017 1.742 2.400
Rb 0.000 0.000 0.000
Rb 0.000 3.484 5.182
Ag 0.000 0.000 3.791
F 3.017 3.561 4.967
F -1.508 2.613 0.000
F 1.441 0.832 4.967
F 1.576 4.393 2.614
F -1.576 4.393 2.614
F 4.593 0.832 4.967
F 1.508 2.613 0.000
F 3.017 0.000 0.000
F 0.000 1.664 2.614
Li 0.000 3.484 0.727
Li 3.017 1.742 6.855
```

Values from the calculation:
Formation energy without anion corrections (kJ per mole of atoms): -213